# LiPrTmCu

An optimized crystal structure of LiPrTmCu (GGA-PBE, the Alexandria database).

Geometry as CIF:
```
data_LiPrTmCu
_cell_length_a 7.215
_cell_length_b 7.215
_cell_length_c 7.215
_cell_angle_alpha 90.00
_cell_angle_beta 90.00
_cell_angle_gamma 90.00
_symmetry_space_group_name_H-M 'F -4 3 m'
_symmetry_Int_Tables_number 216
_symmetry_space_group_name_Hall 'F -4 2 3'
loop_
_atom_site_label
_atom_site_type_symbol
_atom_site_fract_x
_atom_site_fract_y
_atom_site_fract_z
Li1 Li 0.000 0.000 0.000
Pr1 Pr 0.250 0.250 0.250
Tm1 Tm 0.250 0.250 0.750
Cu1 Cu 0.000 0.000 0.500
```

Energy relative to the elements ... -0.005 eV/atom

# K2MgAg2

An optimized crystal structure of K2MgAg2 (GGA-PBE, the Alexandria database).

Geometry as CIF:
```
data_K2MgAg2
_cell_length_a 9.886
_cell_length_b 9.886
_cell_length_c 3.274
_cell_angle_alpha 90.00
_cell_angle_beta 90.00
_cell_angle_gamma 90.00
_symmetry_space_group_name_H-M 'P 4/m b m'
_symmetry_Int_Tables_number 127
_symmetry_space_group_name_Hall '-P 4 2ab'
loop_
_atom_site_label
_atom_site_type_symbol
_atom_site_fract_x
_atom_site_fract_y
_atom_site_fract_z
K1 K 0.141 0.359 0.000
Mg1 Mg 0.000 0.000 0.000
Ag1 Ag 0.158 0.658 0.500
```

Energy relative to the elements ... 0.293 eV/atom

# TmHfNpO6

An optimized crystal structure of TmHfNpO6 (GGA-PBE, the Alexandria database).

Geometry as CIF:
```
data_TmHfNpO6
_cell_length_a 5.5743
_cell_length_b 5.5743
_cell_length_c 9.3830
_cell_angle_alpha 90.00
_cell_angle_beta 90.00
_cell_angle_gamma 120.00
_symmetry_space_group_name_H-M 'P -3 1 c'
_symmetry_Int_Tables_number 163
_symmetry_space_group_name_Hall '-P 3 2c'
loop_
_atom_site_label
_atom_site_type_symbol
_atom_site_fract_x
_atom_site_fract_y
_atom_site_fract_z
Tm1 Tm 0.0000 0.0000 0.0000
Hf1 Hf 0.3333 0.6667 0.2500
Np1 Np 0.3333 0.6667 0.7500
O1 O 0.0071 0.3482 0.1344
```

Formation energy (no corrections) ... -3.255 eV/atom

# Te3SeS

An optimized crystal structure of Te3SeS (GGA-PBE, the Alexandria database).

Geometry as CIF:
```
data_Te3SeS
_cell_length_a 5.243
_cell_length_b 5.243
_cell_length_c 5.243
_cell_angle_alpha 90.00
_cell_angle_beta 90.00
_cell_angle_gamma 90.00
_symmetry_space_group_name_H-M 'P m -3 m'
_symmetry_Int_Tables_number 221
_symmetry_space_group_name_Hall '-P 4 2 3'
loop_
_atom_site_label
_atom_site_type_symbol
_atom_site_fract_x
_atom_site_fract_y
_atom_site_fract_z
Te1 Te 0.000 0.000 0.500
Se1 Se 0.500 0.500 0.500
S1 S 0.000 0.000 0.000
```

Formation energy (no corrections) ... 0.701 eV/atom

# LiScRu2

An optimized crystal structure of LiScRu2 (GGA-PBE, the Alexandria database).

Geometry as CIF:
```
data_LiScRu2
_cell_length_a 3.073
_cell_length_b 4.310
_cell_length_c 4.509
_cell_angle_alpha 90.00
_cell_angle_beta 90.00
_cell_angle_gamma 90.00
_symmetry_space_group_name_H-M 'P m m m'
_symmetry_Int_Tables_number 47
loop_
_symmetry_equiv_pos_as_xyz
'x,y,z'
'-x,-y,-z'
'-x,-y,z'
'x,y,-z'
'x,-y,-z'
'-x,y,z'
'-x,y,-z'
'x,-y,z'
loop_
_atom_site_label
_atom_site_type_symbol
_atom_site_fract_x
_atom_site_fract_y
_atom_site_fract_z
Li1 Li 0.000 0.000 0.000
Sc1 Sc 0.500 0.000 0.500
Ru1 Ru 0.000 0.500 0.500
Ru2 Ru 0.500 0.500 0.000
```

Energy relative to the elements ... -0.025 eV/atom

# Zn4ReSi

An optimized crystal structure of Zn4ReSi (GGA-PBE, the Alexandria database).

Geometry as CIF:
```
data_Zn4ReSi
_cell_length_a 6.976
_cell_length_b 6.976
_cell_length_c 6.976
_cell_angle_alpha 90.00
_cell_angle_beta 90.00
_cell_angle_gamma 90.00
_symmetry_space_group_name_H-M 'F -4 3 m'
_symmetry_Int_Tables_number 216
_symmetry_space_group_name_Hall 'F -4 2 3'
loop_
_atom_site_label
_atom_site_type_symbol
_atom_site_fract_x
_atom_site_fract_y
_atom_site_fract_z
Zn1 Zn 0.124 0.124 0.124
Re1 Re 0.250 0.250 0.750
Si1 Si 0.000 0.000 0.500
```

Formation energy (no corrections) ... 0.374 eV/atom

# Rb3CePu2S6

An optimized crystal structure of Rb3CePu2S6 (GGA-PBE, the Alexandria database).

Geometry as CIF:
```
data_Rb3CePu2S6
_cell_length_a 7.230
_cell_length_b 12.522
_cell_length_c 8.025
_cell_angle_alpha 90.00
_cell_angle_beta 107.47
_cell_angle_gamma 90.00
_symmetry_space_group_name_H-M 'C 1 2/m 1'
_symmetry_Int_Tables_number 12
loop_
_symmetry_equiv_pos_as_xyz
'x,y,z'
'-x,-y,-z'
'-x,y,-z'
'x,-y,z'
'x+1/2,y+1/2,z'
'-x+1/2,-y+1/2,-z'
'-x+1/2,y+1/2,-z'
'x+1/2,-y+1/2,z'
loop_
_atom_site_label
_atom_site_type_symbol
_atom_site_fract_x
_atom_site_fract_y
_atom_site_fract_z
Rb1 Rb 0.000 0.000 0.000
Rb2 Rb 0.000 0.333 0.000
Ce1 Ce 0.000 0.500 0.500
Pu1 Pu 0.000 0.167 0.500
S1 S 0.228 0.000 0.692
S2 S 0.232 0.332 0.692
```

Formation energy (no corrections) ... -1.634 eV/atom

# K2ZnSe2O6

An optimized crystal structure of K2ZnSe2O6 (GGA-PBE, the Alexandria database).

Geometry as CIF:
```
data_K2ZnSe2O6
_cell_length_a 8.916
_cell_length_b 5.912
_cell_length_c 7.122
_cell_angle_alpha 90.00
_cell_angle_beta 110.67
_cell_angle_gamma 90.00
_symmetry_space_group_name_H-M 'C 1 2/m 1'
_symmetry_Int_Tables_number 12
loop_
_symmetry_equiv_pos_as_xyz
'x,y,z'
'-x,-y,-z'
'-x,y,-z'
'x,-y,z'
'x+1/2,y+1/2,z'
'-x+1/2,-y+1/2,-z'
'-x+1/2,y+1/2,-z'
'x+1/2,-y+1/2,z'
loop_
_atom_site_label
_atom_site_type_symbol
_atom_site_fract_x
_atom_site_fract_y
_atom_site_fract_z
K1 K 0.199 0.000 0.145
Zn1 Zn 0.000 0.000 0.500
Se1 Se 0.096 0.500 0.249
O1 O 0.021 0.267 0.740
O2 O 0.240 0.000 0.535
```

Formation energy (no corrections) ... -1.203 eV/atom